1.
Computed, not measured: crystalline NaEuYTl at its relaxed geometry at the GGA-PBE level of DFT.

Lattice parameters (Å, degrees): 5.5655 5.5655 5.5655 60.00 60.00 60.00
With the nearest neighbours (Å) after each atom.
Positions (direct):
Na (0.0000, 0.0000, 0.0000)  4 Y 3.41, 4 Eu 3.41
Eu (0.7500, 0.7500, 0.7500)  4 Tl 3.41, 4 Na 3.41
Y (0.2500, 0.2500, 0.2500)  4 Tl 3.41, 4 Na 3.41
Tl (0.5000, 0.5000, 0.5000)  4 Eu 3.41, 4 Y 3.41

Computed properties:
E: -0.1913 hartree per atom
SG: No. 216

2.
Computed, not measured: crystalline Ac8GaSi3I4 at its relaxed geometry at the GGA-PBE level of DFT.

Lattice parameters (Å, degrees): 9.7006 9.7006 9.7006 57.08 57.08 57.08
With the nearest neighbours (Å) after each atom.
Positions (direct):
Ac (0.2334, 0.2334, 0.2334)  3 Si 3.13
Ac (0.2327, 0.7346, 0.7346)  2 Si 3.13, 1 Ga 3.14
Ac (0.2654, 0.2654, 0.7673)  2 Si 3.13, 1 Ga 3.14
Ac (0.2654, 0.7673, 0.2654)  2 Si 3.13, 1 Ga 3.14
Ac (0.7346, 0.2327, 0.7346)  2 Si 3.13, 1 Ga 3.14
Ac (0.7346, 0.7346, 0.2327)  2 Si 3.13, 1 Ga 3.14
Ac (0.7673, 0.2654, 0.2654)  2 Si 3.13, 1 Ga 3.14
Ac (0.7666, 0.7666, 0.7666)  3 Si 3.13
Ga (0.5000, 0.5000, 0.5000)  6 Ac 3.14
Si (0.0000, 0.0000, 0.5000)  6 Ac 3.13
Si (0.0000, 0.5000, 0.0000)  6 Ac 3.13
Si (0.5000, 0.0000, 0.0000)  6 Ac 3.13
I (0.0000, 0.0000, 0.0000)  6 Ac 3.59
I (0.0000, 0.5000, 0.5000)  6 Ac 3.61
I (0.5000, 0.0000, 0.5000)  6 Ac 3.61
I (0.5000, 0.5000, 0.0000)  6 Ac 3.61

Computed properties:
E: -0.1664 hartree per atom
SG: No. 166
Formation energy (no corrections): -14.100 eV/f.u.

3.
Computed, not measured: crystalline LiTm3Tl2 at its relaxed geometry at the GGA-PBE level of DFT.

Lattice parameters (Å, degrees): 11.5935 4.9074 10.8557 90.00 90.00 90.00
With the nearest neighbours (Å) after each atom.
Positions (direct):
Li (0.1388, 0.2500, 0.1014)  3 Tl 2.74-2.84
Li (0.3612, 0.7500, 0.6014)  3 Tl 2.74-2.84
Li (0.6388, 0.2500, 0.3986)  3 Tl 2.74-2.84
Li (0.8612, 0.7500, 0.8986)  3 Tl 2.74-2.84
Tm (0.0307, 0.2500, 0.3692)  5 Tl 3.09-3.31, 1 Li 3.17
Tm (0.1471, 0.7500, 0.8945)  5 Tl 3.23-3.27, 3 Li 3.31-3.33, 4 Tm 3.48-3.54
Tm (0.1894, 0.2500, 0.6632)  5 Tl 3.16-3.43, 2 Li 3.23, 1 Tm 3.48
Tm (0.3106, 0.7500, 0.1632)  5 Tl 3.16-3.43, 2 Li 3.23, 1 Tm 3.48
Tm (0.3529, 0.2500, 0.3945)  5 Tl 3.23-3.27, 3 Li 3.31-3.33, 4 Tm 3.48-3.54
Tm (0.4693, 0.7500, 0.8692)  5 Tl 3.09-3.31, 1 Li 3.17
Tm (0.5307, 0.2500, 0.1308)  5 Tl 3.09-3.31, 1 Li 3.17
Tm (0.6471, 0.7500, 0.6055)  5 Tl 3.23-3.27, 3 Li 3.31-3.33, 4 Tm 3.48-3.54
Tm (0.6894, 0.2500, 0.8368)  5 Tl 3.16-3.43, 2 Li 3.23, 1 Tm 3.48
Tm (0.8106, 0.7500, 0.3368)  5 Tl 3.16-3.43, 2 Li 3.23, 1 Tm 3.48
Tm (0.8529, 0.2500, 0.1055)  5 Tl 3.23-3.27, 3 Li 3.31-3.33, 4 Tm 3.48-3.54
Tm (0.9693, 0.7500, 0.6308)  5 Tl 3.09-3.31, 1 Li 3.17
Tl (0.0306, 0.7500, 0.1648)  2 Li 2.84, 1 Tm 3.16
Tl (0.1776, 0.7500, 0.4429)  1 Li 2.74
Tl (0.3224, 0.2500, 0.9429)  1 Li 2.74
Tl (0.4694, 0.2500, 0.6648)  2 Li 2.84, 1 Tm 3.16
Tl (0.5306, 0.7500, 0.3352)  2 Li 2.84, 1 Tm 3.16
Tl (0.6776, 0.7500, 0.0571)  1 Li 2.74
Tl (0.8224, 0.2500, 0.5571)  1 Li 2.74
Tl (0.9694, 0.2500, 0.8352)  2 Li 2.84, 1 Tm 3.16

Computed properties:
E: -0.1319 hartree per atom
SG: No. 62
E above lowest polymorph: 0.000 eV per atom

4.
Computed, not measured: crystalline RbB2Pd2 at its relaxed geometry at the GGA-PBE level of DFT.

Lattice parameters (Å, degrees): 7.7881 7.7881 3.0620 90.00 90.00 90.00
With the nearest neighbours (Å) after each atom.
Positions (direct):
Rb (0.0000, 0.0000, 0.0000)  2 Rb 3.06, 4 B 3.33
Rb (0.5000, 0.5000, 0.0000)  2 Rb 3.06, 4 B 3.33
B (0.0807, 0.4193, 0.0000)  1 B 1.78
B (0.4193, 0.9193, 0.0000)  1 B 1.78
B (0.5807, 0.0807, 0.0000)  1 B 1.78
B (0.9193, 0.5807, 0.0000)  1 B 1.78
Pd (0.1236, 0.6236, 0.5000)  4 B 2.23
Pd (0.3764, 0.1236, 0.5000)  4 B 2.23
Pd (0.6236, 0.8764, 0.5000)  4 B 2.23
Pd (0.8764, 0.3764, 0.5000)  4 B 2.23

Computed properties:
E: -0.1579 hartree per atom
SG: No. 127
E above lowest polymorph: 0.492 eV per atom

5.
Computed, not measured: crystalline NiAsBr at its relaxed geometry at the GGA-PBE level of DFT.

Lattice parameters (Å, degrees): 6.6519 6.2475 3.4309 81.20 68.15 30.64
With the nearest neighbours (Å) after each atom.
Positions (direct):
Ni (0.0000, 0.0000, 0.0000)  2 As 2.28, 2 Br 2.45
As (0.3844, 0.3844, 0.6156)  2 Ni 2.28
Br (0.6376, 0.6376, 0.3624)  2 Ni 2.45

Computed properties:
E: -0.1450 hartree per atom
SG: No. 42
E above lowest polymorph: 0.217 eV per atom
Formation energy (no corrections): 0.270 eV/f.u.

6.
Computed, not measured: crystalline Sc2W2Cl at its relaxed geometry at the GGA-PBE level of DFT.

Lattice parameters (Å, degrees): 8.0245 8.0245 3.3153 90.00 90.00 90.00
With the nearest neighbours (Å) after each atom.
Positions (direct):
Sc (0.1851, 0.3149, 0.0000)  6 W 2.91-2.94
Sc (0.3149, 0.8149, 0.0000)  6 W 2.91-2.94
Sc (0.6851, 0.1851, 0.0000)  6 W 2.91-2.94
Sc (0.8149, 0.6851, 0.0000)  6 W 2.91-2.94
W (0.1006, 0.6006, 0.5000)  1 W 2.28
W (0.3994, 0.1006, 0.5000)  1 W 2.28
W (0.6006, 0.8994, 0.5000)  1 W 2.28
W (0.8994, 0.3994, 0.5000)  1 W 2.28
Cl (0.0000, 0.0000, 0.5000)  4 W 3.31, 2 Cl 3.32, 8 Sc 3.37
Cl (0.5000, 0.5000, 0.5000)  4 W 3.31, 2 Cl 3.32, 8 Sc 3.37

Computed properties:
E: -0.2805 hartree per atom
SG: No. 127
E above lowest polymorph: 0.439 eV per atom
Formation energy (no corrections): 2.257 eV/f.u.

7.
Computed, not measured: crystalline NdHo2Er4 at its relaxed geometry at the GGA-PBE level of DFT.

Lattice parameters (Å, degrees): 6.0123 8.4098 9.8010 84.93 72.43 69.19
With the nearest neighbours (Å) after each atom.
Positions (direct):
Nd (0.0000, 0.0000, 0.0000)  7 Er 3.33-3.68, 3 Ho 3.52-3.64
Nd (0.2834, 0.1456, 0.2833)  7 Er 3.32-3.67, 3 Ho 3.51-3.64
Ho (0.1036, 0.5727, 0.1414)  8 Er 3.46-3.63, 2 Ho 3.54-3.55, 2 Nd 3.64
Ho (0.1144, 0.5039, 0.5016)  8 Er 3.35-3.71, 1 Nd 3.51, 2 Ho 3.54-3.67
Ho (0.3006, 0.0721, 0.6415)  8 Er 3.46-3.67, 2 Nd 3.54, 2 Ho 3.67
Ho (0.4034, 0.6408, 0.7810)  8 Er 3.35-3.72, 1 Nd 3.52, 2 Ho 3.55-3.67
Er (0.4774, 0.2213, 0.9183)  4 Er 3.30-3.62, 2 Nd 3.33-3.49, 3 Ho 3.47-3.65
Er (0.5135, 0.7159, 0.4199)  4 Er 3.29-3.64, 4 Ho 3.35-3.63, 1 Nd 3.67
Er (0.5460, 0.7817, 0.0647)  3 Nd 3.36-3.68, 4 Er 3.39-3.62, 3 Ho 3.46-3.55
Er (0.6776, 0.3632, 0.2181)  3 Nd 3.37-3.67, 4 Er 3.39-3.62, 3 Ho 3.47-3.56
Er (0.7214, 0.2859, 0.5647)  5 Ho 3.37-3.67, 5 Er 3.41-3.69, 1 Nd 3.54
Er (0.8562, 0.8589, 0.7188)  5 Ho 3.36-3.67, 5 Er 3.40-3.69, 1 Nd 3.53
Er (0.9028, 0.9237, 0.3653)  4 Er 3.29-3.64, 2 Nd 3.32-3.49, 3 Ho 3.46-3.67
Er (0.9331, 0.4281, 0.8626)  5 Er 3.30-3.69, 4 Ho 3.35-3.63, 1 Nd 3.66

Computed properties:
E: -0.1661 hartree per atom
SG: No. 1
E above lowest polymorph: 0.042 eV per atom

8.
Computed, not measured: crystalline Li3Cd2Pt2 at its relaxed geometry at the GGA-PBE level of DFT.

Lattice parameters (Å, degrees): 4.4241 2.8104 9.8646 90.00 102.90 90.00
With the nearest neighbours (Å) after each atom.
Positions (direct):
Li (0.0000, 0.0000, 0.0000)  2 Cd 2.60, 2 Li 2.81
Li (0.2962, 0.0000, 0.5923)  2 Cd 2.57, 4 Li 2.81-2.84, 2 Pt 2.88
Li (0.7038, 0.0000, 0.4077)  2 Cd 2.57, 4 Li 2.81-2.84, 2 Pt 2.88
Cd (0.1359, 0.0000, 0.2708)  3 Li 2.57-2.60, 2 Cd 2.81, 4 Pt 2.88
Cd (0.8640, 0.0000, 0.7292)  3 Li 2.57-2.60, 2 Cd 2.81, 4 Pt 2.88
Pt (0.4257, 0.5000, 0.8532)  3 Pt 2.81-2.82, 6 Li 2.88-2.98, 4 Cd 2.88
Pt (0.5743, 0.5000, 0.1468)  3 Pt 2.81-2.82, 6 Li 2.88-2.98, 4 Cd 2.88

Computed properties:
E: -0.1131 hartree per atom
SG: No. 10
E above lowest polymorph: 0.189 eV per atom

9.
Computed, not measured: crystalline La2Tb6SmY3 at its relaxed geometry at the GGA-PBE level of DFT.

Lattice parameters (Å, degrees): 6.2422 6.2422 11.9266 95.00 95.00 120.01
With the nearest neighbours (Å) after each atom.
Positions (direct):
La (0.1664, 0.8336, 0.0000)  3 La 3.60-3.61, 3 Sm 3.60-3.61, 6 Tb 3.63-3.64
La (0.8336, 0.1664, 0.0000)  3 La 3.60-3.61, 3 Sm 3.60-3.61, 6 Tb 3.63-3.64
Tb (0.0822, 0.4149, 0.7461)  3 Y 3.56, 6 Tb 3.60-3.61, 1 Sm 3.63, 2 La 3.63-3.64
Tb (0.2526, 0.2526, 0.2540)  3 Y 3.56-3.57, 6 Tb 3.60-3.61, 1 Sm 3.63, 2 La 3.64
Tb (0.4149, 0.0822, 0.7461)  3 Y 3.56, 6 Tb 3.60-3.61, 1 Sm 3.63, 2 La 3.63-3.64
Tb (0.5851, 0.9178, 0.2539)  3 Y 3.56, 6 Tb 3.60-3.61, 1 Sm 3.63, 2 La 3.63-3.64
Tb (0.7474, 0.7474, 0.7460)  3 Y 3.56-3.57, 6 Tb 3.60-3.61, 1 Sm 3.63, 2 La 3.64
Tb (0.9178, 0.5851, 0.2539)  3 Y 3.56, 6 Tb 3.60-3.61, 1 Sm 3.63, 2 La 3.63-3.64
Sm (0.5000, 0.5000, 0.0000)  6 La 3.60-3.61, 6 Tb 3.63
Y (0.0000, 0.0000, 0.5000)  6 Tb 3.56-3.57, 6 Y 3.60-3.61
Y (0.3336, 0.6664, 0.5000)  6 Tb 3.56, 6 Y 3.60-3.61
Y (0.6664, 0.3336, 0.5000)  6 Tb 3.56, 6 Y 3.60-3.61

Computed properties:
E: -0.1883 hartree per atom
SG: No. 12

10.
Computed, not measured: crystalline LaHgW2 at its relaxed geometry at the GGA-PBE level of DFT.

Lattice parameters (Å, degrees): 2.9980 2.9980 10.0921 90.00 90.00 112.98
With the nearest neighbours (Å) after each atom.
Positions (direct):
La (0.0000, 0.0000, 0.0000)  6 La 3.00-3.31, 2 W 3.16
Hg (0.5000, 0.5000, 0.7073)  2 W 2.99, 6 Hg 3.00-3.31
W (0.0000, 0.0000, 0.4602)  2 W 2.56
W (0.5000, 0.5000, 0.2667)  2 W 2.56

Computed properties:
E: -0.2692 hartree per atom
SG: No. 35

11.
Computed, not measured: crystalline Ti5O at its relaxed geometry at the GGA-PBE level of DFT.

Lattice parameters (Å, degrees): 5.5905 5.5905 7.6123 108.84 108.84 54.36
With the nearest neighbours (Å) after each atom.
Positions (direct):
Ti (0.0331, 0.3688, 0.6469)  1 O 2.09
Ti (0.1610, 0.8390, 0.7500)  2 O 2.07
Ti (0.2262, 0.5641, 0.0511)  1 O 2.10
Ti (0.3688, 0.0331, 0.1469)  1 O 2.09
Ti (0.4359, 0.7738, 0.4489)  1 O 2.10
Ti (0.5641, 0.2262, 0.5511)  1 O 2.10
Ti (0.6312, 0.9669, 0.8531)  1 O 2.09
Ti (0.7738, 0.4359, 0.9489)  1 O 2.10
Ti (0.8390, 0.1610, 0.2500)  2 O 2.07
Ti (0.9669, 0.6312, 0.3531)  1 O 2.09
O (0.0000, 0.0000, 0.0000)  6 Ti 2.07-2.10
O (0.0000, 0.0000, 0.5000)  6 Ti 2.07-2.10

Computed properties:
E: -0.3065 hartree per atom
SG: No. 15
E above lowest polymorph: 0.000 eV per atom
Formation energy (no corrections): -5.614 eV/f.u.